Here is a relaxed AlFeBiS2 crystal from Alexandria. Energies are from GGA-PBE.

Properties
VASP energy, eV per cell: -22.2
Fermi-level density of states, states/eV per atom: 0.872
Magnetization, μB per formula unit: 2.63
Volume, Å³/atom: 20.92

Cell: 4.625 4.625 4.890 Å, 90.00 90.00 90.00°
Space group P4/mmm (No. 123)
Unique sites:
1 Al 0.000 0.000 0.000 (multiplicity 1)
2 Fe 0.000 0.000 0.500 (multiplicity 1)
3 Bi 0.500 0.500 0.500 (multiplicity 1)
4 S 0.000 0.500 0.000 (multiplicity 2)

=====

Here is a relaxed CsBe2NbF8 crystal from Alexandria. Energies are from GGA-PBE.

Properties
VASP energy, eV per cell: -207.8
Fermi-level density of states, states/eV per atom: 0.489
Magnetization, μB per formula unit: 2.00
Volume, Å³/atom: 16.30

Cell: 5.0795 5.0795 26.2602 Å, 90.00 90.00 120.00°
Space group R-3 (No. 148, hexagonal axes)
Unique sites:
1 Cs 0.0000 0.0000 0.0000 (multiplicity 3)
2 Be 0.0000 0.0000 0.2380 (multiplicity 6)
3 Nb 0.0000 0.0000 0.5000 (multiplicity 3)
4 F 0.0000 0.0000 0.2949 (multiplicity 6)
5 F 0.0240 0.3969 0.8824 (multiplicity 18)

=====

Here is a relaxed Ba2MgHg3Sb4 crystal from Alexandria. Energies are from GGA-PBE.

Properties
VASP energy, eV per cell: -27.2
Fermi-level density of states, states/eV per atom: 0.188
Magnetization, μB per formula unit: 0.00
Volume, Å³/atom: 31.55

Cell: 4.672 4.672 14.455 Å, 90.00 90.00 90.00°
Space group P-4m2 (No. 115)
Unique sites:
1 Ba 0.000 0.500 0.245 (multiplicity 2)
2 Mg 0.000 0.000 0.500 (multiplicity 1)
3 Hg 0.000 0.500 0.852 (multiplicity 2)
4 Hg 0.500 0.500 0.500 (multiplicity 1)
5 Sb 0.000 0.000 0.000 (multiplicity 1)
6 Sb 0.000 0.500 0.631 (multiplicity 2)
7 Sb 0.500 0.500 0.000 (multiplicity 1)

=====

Here is a relaxed LaCeSbO6 crystal from Alexandria. Energies are from GGA-PBE.

Properties
VASP energy, eV per cell: -135.7
Magnetization, μB per formula unit: 0.00
Volume, Å³/atom: 15.00

Cell: 5.7620 5.7620 9.3886 Å, 90.00 90.00 120.00°
Space group P-31c (No. 163)
Unique sites:
1 La 0.3333 0.6667 0.2500 (multiplicity 2)
2 Ce 0.0000 0.0000 0.0000 (multiplicity 2)
3 Sb 0.3333 0.6667 0.7500 (multiplicity 2)
4 O 0.0534 0.3623 0.6298 (multiplicity 12)

=====

Here is a relaxed PuUReRh crystal from Alexandria. Energies are from GGA-PBE.

Properties
Calculated formation energy, eV/atom: -0.12
VASP energy, eV per cell: -183.6
Fermi-level density of states, states/eV per atom: 2.359
Magnetization, μB per formula unit: 3.94
Volume, Å³/atom: 17.57

Cell: 6.551 6.551 6.551 Å, 90.00 90.00 90.00°
Space group F-43m (No. 216)
Unique sites:
1 Pu 0.000 0.000 0.000 (multiplicity 4)
2 U 0.250 0.250 0.250 (multiplicity 4)
3 Re 0.000 0.000 0.500 (multiplicity 4)
4 Rh 0.250 0.250 0.750 (multiplicity 4)

=====

Here is a relaxed Ba3CaLa2Cu6O14 crystal from Alexandria. Energies are from GGA-PBE.

Properties
VASP energy, eV per cell: -316.7
Fermi-level density of states, states/eV per atom: 0.316
Magnetization, μB per formula unit: 0.00
Volume, Å³/atom: 13.69

Cell: 7.703 7.846 11.779 Å, 90.00 90.00 90.00°
Space group Cmm2 (No. 35)
Unique sites:
1 Ba 0.000 0.000 0.000 (multiplicity 2)
2 Ba 0.000 0.000 0.367 (multiplicity 2)
3 Ba 0.000 0.500 0.362 (multiplicity 2)
4 Ca 0.000 0.500 0.680 (multiplicity 2)
5 La 0.000 0.000 0.685 (multiplicity 2)
6 La 0.000 0.500 0.987 (multiplicity 2)
7 Cu 0.250 0.250 0.176 (multiplicity 4)
8 Cu 0.250 0.250 0.534 (multiplicity 4)
9 Cu 0.250 0.250 0.832 (multiplicity 4)
10 O 0.000 0.249 0.556 (multiplicity 4)
11 O 0.000 0.258 0.824 (multiplicity 4)
12 O 0.214 0.500 0.159 (multiplicity 4)
13 O 0.243 0.500 0.820 (multiplicity 4)
14 O 0.249 0.000 0.551 (multiplicity 4)
15 O 0.250 0.250 0.016 (multiplicity 4)
16 O 0.250 0.250 0.333 (multiplicity 4)